No. 1
First-principles (PBE) data for a relaxed Ce3SbSe3 crystal, as listed in the Alexandria database.

The structure in POSCAR format:
```
Ce3SbSe3
1.0
-1.8910 -4.5662 7.5053
-3.8358 -8.1099 -0.5207
3.5076 -6.7753 2.1416
Ce Sb Se
6 2 6
direct
0.2847 0.5495 0.2357 Ce
0.9300 0.2847 0.2357 Ce
0.5495 0.9300 0.2357 Ce
0.4505 0.0700 0.7643 Ce
0.0700 0.7153 0.7643 Ce
0.7153 0.4505 0.7643 Ce
0.3370 0.3370 0.9889 Sb
0.6630 0.6630 0.0111 Sb
0.3702 0.8057 0.7255 Se
0.8057 0.0986 0.7255 Se
0.0986 0.3702 0.7255 Se
0.9014 0.6298 0.2745 Se
0.1943 0.9014 0.2745 Se
0.6298 0.1943 0.2745 Se
```

Computed properties:
- energy relative to the elements, uncorrected (eV per atom) = -1.515

***

No. 2
First-principles (PBE) data for a relaxed Ce8Sb5Se crystal, as listed in the Alexandria database.

The structure in POSCAR format:
```
Ce8Sb5Se
1.0
7.6375 0.0000 -2.6518
-3.7986 6.5996 -2.7165
-0.0403 0.0000 8.0847
Ce Sb Se
8 5 1
direct
0.1288 0.7338 0.0136 Ce
0.9864 0.1152 0.7203 Ce
0.7786 0.2548 0.3815 Ce
0.6185 0.3970 0.8733 Ce
0.4763 0.6030 0.2214 Ce
0.6050 0.8848 0.8712 Ce
0.2797 0.2662 0.3950 Ce
0.1267 0.7452 0.5237 Ce
0.9930 0.3645 0.1185 Sb
0.8815 0.8744 0.2460 Sb
0.7540 0.6355 0.6284 Sb
0.5000 0.0000 0.5000 Sb
0.3716 0.1256 0.0070 Sb
0.2500 0.5000 0.7500 Se
```

Computed properties:
- energy relative to the elements, uncorrected (eV per atom) = -0.993

***

No. 3
First-principles (PBE) data for a relaxed CeSb3Se6 crystal, as listed in the Alexandria database.

The structure in POSCAR format:
```
CeSb3Se6
1.0
4.0790 0.0000 0.0000
0.0000 12.3774 0.5112
0.0000 -3.6236 11.5795
Ce Sb Se
2 6 12
direct
0.7500 0.0321 0.6863 Ce
0.2500 0.9679 0.3137 Ce
0.7500 0.4305 0.8420 Sb
0.2500 0.5695 0.1580 Sb
0.7500 0.7021 0.4611 Sb
0.2500 0.2979 0.5389 Sb
0.7500 0.1520 0.1007 Sb
0.2500 0.8480 0.8993 Sb
0.7500 0.4537 0.6226 Se
0.2500 0.5463 0.3774 Se
0.7500 0.9426 0.1158 Se
0.2500 0.0574 0.8842 Se
0.7500 0.4201 0.0996 Se
0.2500 0.5799 0.9004 Se
0.7500 0.7723 0.2731 Se
0.2500 0.2277 0.7269 Se
0.7500 0.1099 0.4658 Se
0.2500 0.8901 0.5342 Se
0.7500 0.7982 0.7474 Se
0.2500 0.2018 0.2526 Se
```

Computed properties:
- energy relative to the elements, uncorrected (eV per atom) = -0.655

***

No. 4
First-principles (PBE) data for a relaxed Ce3SbSe6 crystal, as listed in the Alexandria database.

The structure in POSCAR format:
```
Ce3SbSe6
1.0
4.4464 0.0000 0.0000
0.0000 11.4920 -4.1828
0.0000 0.5074 11.9138
Ce Sb Se
6 2 12
direct
0.2500 0.1676 0.5692 Ce
0.7500 0.8324 0.4308 Ce
0.2500 0.5075 0.3290 Ce
0.7500 0.4925 0.6710 Ce
0.2500 0.9223 0.8454 Ce
0.7500 0.0777 0.1546 Ce
0.2500 0.3481 0.0337 Sb
0.7500 0.6519 0.9663 Sb
0.2500 0.3875 0.5180 Se
0.7500 0.6125 0.4820 Se
0.2500 0.9198 0.0859 Se
0.7500 0.0802 0.9141 Se
0.2500 0.9346 0.6005 Se
0.7500 0.0654 0.3995 Se
0.2500 0.7276 0.2817 Se
0.7500 0.2724 0.7183 Se
0.2500 0.5278 0.8763 Se
0.7500 0.4722 0.1237 Se
0.2500 0.2534 0.2090 Se
0.7500 0.7466 0.7910 Se
```

Computed properties:
- energy relative to the elements, uncorrected (eV per atom) = -1.378
- energy above the lowest structure with this stoichiometry (kJ/mol of atoms) = 1.58

***

No. 5
First-principles (PBE) data for a relaxed Ce2SbSe4 crystal, as listed in the Alexandria database.

The structure in POSCAR format:
```
Ce2SbSe4
1.0
8.0036 0.0000 0.8204
0.0000 7.0782 0.0000
-2.0621 0.0000 7.7803
Ce Sb Se
4 2 8
direct
0.6779 0.7500 0.0262 Ce
0.3221 0.2500 0.9738 Ce
0.3395 0.2500 0.4781 Ce
0.6605 0.7500 0.5219 Ce
0.2574 0.7500 0.2354 Sb
0.7426 0.2500 0.7646 Sb
0.5208 0.4879 0.2477 Se
0.9089 0.7500 0.8054 Se
0.0911 0.2500 0.1946 Se
0.5208 0.0121 0.2477 Se
0.0837 0.2500 0.6793 Se
0.4792 0.9879 0.7523 Se
0.4792 0.5121 0.7523 Se
0.9163 0.7500 0.3207 Se
```

Computed properties:
- energy relative to the elements, uncorrected (eV per atom) = -1.126

***

No. 6
First-principles (PBE) data for a relaxed Ce5SbSe4 crystal, as listed in the Alexandria database.

The structure in POSCAR format:
```
Ce5SbSe4
1.0
4.1748 0.0000 -0.8054
-0.3116 5.8187 -1.6152
0.0145 -0.0050 11.2977
Ce Sb Se
5 1 4
direct
0.6066 0.1066 0.2132 Ce
0.8010 0.3010 0.6020 Ce
0.1990 0.6990 0.3980 Ce
0.0000 0.5000 0.0000 Ce
0.3934 0.8934 0.7868 Ce
0.0000 0.0000 0.0000 Sb
0.3999 0.3999 0.7998 Se
0.7966 0.7966 0.5932 Se
0.2034 0.2034 0.4068 Se
0.6001 0.6001 0.2002 Se
```

Computed properties:
- energy relative to the elements, uncorrected (eV per atom) = -1.647

***

No. 7
First-principles (PBE) data for a relaxed CeSbSe2 crystal, as listed in the Alexandria database.

The structure in POSCAR format:
```
CeSbSe2
1.0
4.1512 0.0000 0.0000
2.0756 3.5951 0.0000
2.0756 1.1984 8.9700
Sb Se Ce
1 2 1
direct
0.0000 0.0000 0.0000 Sb
0.1054 0.1054 0.6839 Se
0.8946 0.8946 0.3161 Se
0.5000 0.5000 0.5000 Ce
```

Computed properties:
- energy relative to the elements, uncorrected (eV per atom) = -0.899

***

No. 8
First-principles (PBE) data for a relaxed CeSb2Se4 crystal, as listed in the Alexandria database.

The structure in POSCAR format:
```
CeSb2Se4
1.0
-2.8375 -4.1239 6.0851
6.2360 -1.8183 4.4601
-0.4404 5.7799 5.7417
Ce Sb Se
2 4 8
direct
0.1818 0.1818 0.9421 Ce
0.8182 0.8182 0.0579 Ce
0.4511 0.4511 0.1804 Sb
0.5489 0.5489 0.8196 Sb
0.8241 0.8241 0.5307 Sb
0.1759 0.1759 0.4693 Sb
0.3351 0.3351 0.6162 Se
0.6649 0.6649 0.3838 Se
0.9890 0.9890 0.2388 Se
0.0110 0.0110 0.7612 Se
0.5237 0.8864 0.8387 Se
0.8864 0.5237 0.8387 Se
0.4763 0.1136 0.1613 Se
0.1136 0.4763 0.1613 Se
```

Computed properties:
- energy relative to the elements, uncorrected (eV per atom) = -0.622
- energy above the lowest structure with this stoichiometry (kJ/mol of atoms) = 6.14

***

No. 9
First-principles (PBE) data for a relaxed CeSb2Se4 crystal, as listed in the Alexandria database.

The structure in POSCAR format:
```
CeSb2Se4
1.0
4.3817 0.0000 0.0000
-2.1909 6.6427 0.0000
0.0000 0.0000 13.5084
Ce Sb Se
2 4 8
direct
0.6210 0.2420 0.7500 Ce
0.3790 0.7580 0.2500 Ce
0.1258 0.2516 0.4412 Sb
0.8742 0.7484 0.9412 Sb
0.1258 0.2516 0.0588 Sb
0.8742 0.7484 0.5588 Sb
0.7739 0.5478 0.1220 Se
0.7739 0.5478 0.3780 Se
0.2261 0.4522 0.8780 Se
0.2261 0.4522 0.6220 Se
0.9730 0.9460 0.7500 Se
0.0270 0.0540 0.2500 Se
0.5000 0.0000 0.0000 Se
0.5000 0.0000 0.5000 Se
```

Computed properties:
- energy relative to the elements, uncorrected (eV per atom) = -0.686
- energy above the lowest structure with this stoichiometry (kJ/mol of atoms) = 0.00